No. 1
Below is an optimized crystal structure of Tb7Sm2Y2, with properties calculated at the PBE level.

Space group: C2/m
Final energy (eV per cell): -53.108
DFT formation energy (eV/atom): 0.15
Distance to the lowest polymorph of the same formula (meV/atom): 75

Structure (POSCAR):
```
Tb7Sm2Y2
1.0
5.683 -5.727 0.000
5.683 5.727 0.000
-2.409 0.000 5.576
Tb Sm Y
7 2 2
Direct
0.000 0.000 0.000
0.059 0.590 0.826
0.410 0.941 0.174
0.414 0.414 0.197
0.586 0.586 0.803
0.590 0.059 0.826
0.941 0.410 0.174
0.233 0.233 0.589
0.767 0.767 0.411
0.217 0.783 0.500
0.783 0.217 0.500
```

No. 2
Below is an optimized crystal structure of NiRh2Au, with properties calculated at the PBE level.

Space group: Fm-3m
Final energy (eV per cell): -22.548
DFT formation energy (eV/atom): 0.30
Distance to the lowest polymorph of the same formula (meV/atom): 206

Structure (POSCAR):
```
NiRh2Au
1.0
0.000 3.089 3.089
3.089 0.000 3.089
3.089 3.089 0.000
Ni Rh Au
1 2 1
Direct
0.000 0.000 0.000
0.250 0.250 0.250
0.750 0.750 0.750
0.500 0.500 0.500
```